[1]
Computed, not measured: a relaxed structure of ErCO5 at the PBE-GGA level of DFT.

Lattice parameters (Å, degrees): 4.2455 4.4679 4.5035 107.38 111.02 90.89
Space group P1 (No. 1)
Asymmetric unit:
1 Er 0.0000 0.0000 0.0000 [1 per cell]
2 C 0.4981 0.3396 0.7406 [1 per cell]
3 O 0.2575 0.3790 0.4966 [1 per cell]
4 O 0.4557 0.1366 0.8870 [1 per cell]
5 O 0.4629 0.7825 0.2618 [1 per cell]
6 O 0.7952 0.8958 0.4046 [1 per cell]
7 O 0.8109 0.4726 0.8482 [1 per cell]

Properties
Final energy (eV per atom): -7.2633


[2]
Computed, not measured: a relaxed structure of GdScCSe at the PBE-GGA level of DFT.

Lattice parameters (Å, degrees): 3.6650 3.6650 12.9149 90.00 90.00 120.00
Space group P6_3mc (No. 186)
Asymmetric unit:
1 Gd 0.3333 0.6667 0.0000 [2 per cell]
2 Sc 0.3333 0.6667 0.3010 [2 per cell]
3 C 0.0000 0.0000 0.3952 [2 per cell]
4 Se 0.3333 0.6667 0.6612 [2 per cell]

Properties
Final energy (eV per atom): -7.0309
Offset from the most stable computed form (kJ per mole of atoms): 0.0


[3]
Computed, not measured: a relaxed structure of Ta5Co7 at the PBE-GGA level of DFT.

Lattice parameters (Å, degrees): 5.0633 5.0633 15.6222 90.00 90.00 120.00
Space group P6_3/mmc (No. 194)
Asymmetric unit:
1 Ta 0.0000 0.0000 0.1088 [4 per cell]
2 Ta 0.0000 0.5000 0.0000 [6 per cell]
3 Co 0.1588 0.3176 0.2500 [6 per cell]
4 Co 0.3333 0.6667 0.1362 [4 per cell]
5 Co 0.3333 0.6667 0.6660 [4 per cell]

Properties
Final energy (eV per atom): -8.8000
Offset from the most stable computed form (kJ per mole of atoms): 4.0
E_form (eV/atom): 0.28


Q: final energy of number 1 (ErCO5)?
A: -7.2633 eV per atom


Repeat the second record exactly.
Computed, not measured: a relaxed structure of GdScCSe at the PBE-GGA level of DFT.

Lattice parameters (Å, degrees): 3.6650 3.6650 12.9149 90.00 90.00 120.00
Space group P6_3mc (No. 186)
Asymmetric unit:
1 Gd 0.3333 0.6667 0.0000 [2 per cell]
2 Sc 0.3333 0.6667 0.3010 [2 per cell]
3 C 0.0000 0.0000 0.3952 [2 per cell]
4 Se 0.3333 0.6667 0.6612 [2 per cell]

Properties
Final energy (eV per atom): -7.0309
Offset from the most stable computed form (kJ per mole of atoms): 0.0